No. 1
Entry from Alexandria via LeMat-Bulk: LiAcZnPt after structural relaxation (PBE-GGA).

The value obtained for the size of the total moment is 0.000 Bohr magnetons per cell. Its energy above the most stable polymorph in this dataset is 0.00 eV per formula unit.

The structure belongs to space group Cm (No. 8); the cell edges are 7.784, 4.483 and 5.772 Å and the angles 90.00°, 116.87° and 90.00°. Symmetry generates all atoms from Li at (0.000, 0.000, 0.000), Ac at (0.193, 0.000, 0.581), Zn at (0.208, 0.500, 0.125) and Pt at (0.399, 0.000, 0.196).

No. 2
Entry from Alexandria via LeMat-Bulk: LiAcZnPt2 after structural relaxation (PBE-GGA).

The value obtained for the size of the total moment is 0.000 Bohr magnetons per cell.

The structure belongs to space group I-4m2 (No. 119); the cell edges are 4.115, 4.115 and 12.040 Å and the angles 90.00°, 90.00° and 90.00°. Symmetry generates all atoms from Li at (0.000, 0.000, 0.000), Ac at (0.000, 0.500, 0.750), Zn at (0.000, 0.000, 0.500) and Pt at (0.000, 0.500, 0.135).

No. 3
Entry from Alexandria via LeMat-Bulk: LiAcZnPt3 after structural relaxation (PBE-GGA).

The value obtained for the size of the total moment is 0.000 Bohr magnetons per cell.

The structure belongs to space group Cmcm (No. 63); the cell edges are 6.194, 12.310 and 5.972 Å and the angles 90.00°, 90.00° and 90.00°. Symmetry generates all atoms from Li at (0.000, 0.066, 0.250), Ac at (0.000, 0.299, 0.250), Zn at (0.000, 0.365, 0.750), Pt at (0.000, 0.159, 0.750) and Pt at (0.225, 0.500, 0.000).

No. 4
Entry from Alexandria via LeMat-Bulk: Li2Ac2ZnPt5 after structural relaxation (PBE-GGA).

The value obtained for the size of the total moment is 0.000 Bohr magnetons per cell.

The structure belongs to space group P4/mbm (No. 127); the cell edges are 9.667, 9.667 and 3.939 Å and the angles 90.00°, 90.00° and 90.00°. Symmetry generates all atoms from Li at (0.116, 0.384, 0.000), Ac at (0.183, 0.683, 0.000), Zn at (0.000, 0.000, 0.000), Pt at (0.000, 0.500, 0.500) and Pt at (0.059, 0.208, 0.500).

No. 5
Entry from Alexandria via LeMat-Bulk: LiAcZn2Pt2 after structural relaxation (PBE-GGA).

The value obtained for the size of the total moment is 0.000 Bohr magnetons per cell.

The structure belongs to space group P-3m1 (No. 164); the cell edges are 4.4077, 4.4077 and 7.0755 Å and the angles 90.00°, 90.00° and 120.00°. Symmetry generates all atoms from Li at (0.0000, 0.0000, 0.0000), Ac at (0.0000, 0.0000, 0.5000), Zn at (0.3333, 0.6667, 0.8461) and Pt at (0.3333, 0.6667, 0.2202).

No. 6
Entry from Alexandria via LeMat-Bulk: LiAc2Pu after structural relaxation (PBE-GGA).

The value obtained for the size of the total moment is 7.023 Bohr magnetons per cell.

The structure belongs to space group P4/mmm (No. 123); the cell edges are 5.994, 5.994 and 3.816 Å and the angles 90.00°, 90.00° and 90.00°. Symmetry generates all atoms from Li at (0.000, 0.000, 0.000), Ac at (0.000, 0.500, 0.500) and Pu at (0.500, 0.500, 0.000).

No. 7
Entry from Alexandria via LeMat-Bulk: LiAcPu after structural relaxation (PBE-GGA).

The value obtained for the size of the total moment is 6.362 Bohr magnetons per cell.

The structure belongs to space group P3m1 (No. 156); the cell edges are 3.6551, 3.6551 and 8.5869 Å and the angles 90.00°, 90.00° and 120.00°. Symmetry generates all atoms from Li at (0.0000, 0.0000, 0.0000), Ac at (0.6667, 0.3333, 0.3393) and Pu at (0.3333, 0.6667, 0.6872).

No. 8
Entry from Alexandria via LeMat-Bulk: LiAcPuRh after structural relaxation (PBE-GGA).

The value obtained for the size of the total moment is 24.174 Bohr magnetons per cell.

The structure belongs to space group F-43m (No. 216); the cell edges are 7.296, 7.296 and 7.296 Å and the angles 90.00°, 90.00° and 90.00°. Symmetry generates all atoms from Li at (0.000, 0.000, 0.000), Ac at (0.250, 0.250, 0.750), Pu at (0.250, 0.250, 0.250) and Rh at (0.000, 0.000, 0.500).

ΔE_f / eV/atom: -0.632 -0.841 -0.617 -0.764 -0.779 0.189 0.327 -0.135